First-principles (GGA-PBE) data for a relaxed structure of BeBi2H, as listed in Alexandria via LeMat-Bulk.

Cell lengths 4.747, 4.747, 4.747 Å; angles 60.00, 60.00, 60.00 degrees
Fractional coordinates of all 4 atoms:
Bi 0.750 0.750 0.750
Bi 0.250 0.250 0.250
H 0.000 0.000 0.000
Be 0.500 0.500 0.500

Values from the calculation:
space group: Fm-3m, No. 225
total DFT energy (no corrections): -3.054 eV/atom
E above lowest polymorph: 0.034 eV/atom


First-principles (GGA-PBE) data for a relaxed structure of PrGe2Pb, as listed in Alexandria via LeMat-Bulk.

Cell lengths 4.937, 4.937, 7.801 Å; angles 71.55, 71.55, 60.00 degrees
Fractional coordinates of all 4 atoms:
Pb 0.000 0.000 0.000
Pr 0.500 0.500 0.500
Ge 0.878 0.878 0.366
Ge 0.122 0.122 0.634

Values from the calculation:
space group: R-3m, No. 166
E_form: 255 meV/atom
total DFT energy (no corrections): -4.176 eV/atom
E above lowest polymorph: 0.609 eV/atom


First-principles (GGA-PBE) data for a relaxed structure of Na3TbPa2Te6, as listed in Alexandria via LeMat-Bulk.

Cell lengths 7.554, 7.554, 8.158 Å; angles 98.87, 98.87, 120.02 degrees
Fractional coordinates of all 12 atoms:
Na 0.166 0.834 0.500
Na 0.500 0.500 0.500
Na 0.834 0.166 0.500
Pa 0.333 0.667 0.000
Pa 0.667 0.333 0.000
Te 0.253 0.253 0.762
Te 0.920 0.588 0.762
Te 0.747 0.747 0.238
Te 0.412 0.080 0.238
Te 0.080 0.412 0.238
Te 0.588 0.920 0.762
Tb 0.000 0.000 0.000

Values from the calculation:
space group: C2/m, No. 12
energy relative to the elements, uncorrected: -0.99 eV per atom
total DFT energy (no corrections): -4.863 eV/atom


First-principles (GGA-PBE) data for a relaxed structure of RuPbBr, as listed in Alexandria via LeMat-Bulk.

Cell lengths 7.462, 7.159, 3.308 Å; angles 82.10, 71.85, 26.05 degrees
Fractional coordinates of all 3 atoms:
Ru 0.657 0.657 0.343
Pb 0.313 0.313 0.687
Br 0.030 0.030 0.970

Values from the calculation:
space group: Fmm2, No. 42
energy relative to the elements, uncorrected: 0.56 eV per atom
total DFT energy (no corrections): -4.325 eV/atom
E above lowest polymorph: 0.163 eV/atom


First-principles (GGA-PBE) data for a relaxed structure of ZrBeSn, as listed in Alexandria via LeMat-Bulk.

Cell lengths 3.219, 3.219, 5.823 Å; angles 106.05, 106.05, 90.00 degrees
Fractional coordinates of all 3 atoms:
Sn 0.306 0.306 0.611
Be 0.948 0.948 0.896
Zr 0.596 0.596 0.192

Values from the calculation:
space group: I4mm, No. 107
E_form: 14 meV/atom
total DFT energy (no corrections): -5.412 eV/atom


First-principles (GGA-PBE) data for a relaxed structure of La2VZnPb, as listed in Alexandria via LeMat-Bulk.

Cell lengths 6.147, 4.933, 6.147 Å; angles 90.00, 90.00, 90.00 degrees
Fractional coordinates of all 5 atoms:
Zn 0.000 0.500 0.000
La 0.500 0.000 0.000
La 0.000 0.000 0.500
V 0.500 0.500 0.500
Pb 0.000 0.000 0.000

Values from the calculation:
space group: P4/mmm, No. 123
E_form: 1052 meV/atom
total DFT energy (no corrections): -3.740 eV/atom
E above lowest polymorph: 0.374 eV/atom


First-principles (GGA-PBE) data for a relaxed structure of Mg7In2Ga3, as listed in Alexandria via LeMat-Bulk.

Cell lengths 4.777, 5.068, 11.891 Å; angles 102.30, 90.00, 90.00 degrees
Fractional coordinates of all 12 atoms:
Mg 0.000 0.284 0.568
Mg 0.500 0.075 0.151
Mg 0.500 0.925 0.849
Mg 0.000 0.716 0.432
Mg 0.000 0.425 0.850
Mg 0.000 0.575 0.150
Mg 0.000 0.000 0.000
Ga 0.500 0.353 0.706
Ga 0.500 0.500 0.000
Ga 0.500 0.647 0.294
In 0.000 0.848 0.695
In 0.000 0.152 0.305

Values from the calculation:
space group: Cmmm, No. 65
E_form: 11 meV/atom
total DFT energy (no corrections): -2.132 eV/atom


First-principles (GGA-PBE) data for a relaxed structure of La5TbSmDy2, as listed in Alexandria via LeMat-Bulk.

Cell lengths 9.474, 9.474, 9.824 Å; angles 118.83, 118.83, 90.00 degrees
Fractional coordinates of all 18 atoms:
Dy 0.609 0.109 0.000
Dy 0.109 0.391 0.000
Dy 0.891 0.609 0.000
Dy 0.391 0.891 0.000
Sm 0.750 0.750 0.500
Sm 0.250 0.250 0.500
La 0.434 0.335 0.269
La 0.835 0.934 0.269
La 0.566 0.665 0.731
La 0.665 0.165 0.731
La 0.934 0.434 0.269
La 0.165 0.066 0.731
La 0.000 0.000 0.000
La 0.500 0.500 0.000
La 0.066 0.566 0.731
La 0.335 0.835 0.269
Tb 0.750 0.250 0.500
Tb 0.250 0.750 0.500

Values from the calculation:
space group: I4/mcm, No. 140
E_form: 285 meV/atom
total DFT energy (no corrections): -4.514 eV/atom


First-principles (GGA-PBE) data for a relaxed structure of CaAlCo2Br, as listed in Alexandria via LeMat-Bulk.

Cell lengths 4.411, 6.133, 4.411 Å; angles 90.00, 90.00, 90.00 degrees
Fractional coordinates of all 5 atoms:
Al 0.000 0.000 0.000
Co 0.500 0.000 0.000
Co 0.000 0.000 0.500
Br 0.500 0.500 0.500
Ca 0.000 0.500 0.000

Values from the calculation:
space group: P4/mmm, No. 123
energy relative to the elements, uncorrected: 0.39 eV per atom
total DFT energy (no corrections): -3.931 eV/atom


First-principles (GGA-PBE) data for a relaxed structure of Ta2Zn2Au, as listed in Alexandria via LeMat-Bulk.

Cell lengths 6.498, 6.498, 3.899 Å; angles 90.00, 90.00, 90.00 degrees
Fractional coordinates of all 10 atoms:
Au 0.000 0.000 0.000
Au 0.500 0.500 0.000
Zn 0.368 0.868 0.000
Zn 0.868 0.632 0.000
Zn 0.632 0.132 0.000
Zn 0.132 0.368 0.000
Ta 0.664 0.836 0.500
Ta 0.836 0.336 0.500
Ta 0.164 0.664 0.500
Ta 0.336 0.164 0.500

Values from the calculation:
space group: P4/mbm, No. 127
E_form: 100 meV/atom
total DFT energy (no corrections): -5.806 eV/atom


First-principles (GGA-PBE) data for a relaxed structure of MgTlRe2, as listed in Alexandria via LeMat-Bulk.

Cell lengths 4.577, 4.577, 4.577 Å; angles 60.00, 60.00, 60.00 degrees
Fractional coordinates of all 4 atoms:
Re 0.250 0.250 0.250
Re 0.000 0.000 0.000
Mg 0.500 0.500 0.500
Tl 0.750 0.750 0.750

Values from the calculation:
space group: F-43m, No. 216
E_form: 662 meV/atom
total DFT energy (no corrections): -6.552 eV/atom
E above lowest polymorph: 0.374 eV/atom


First-principles (GGA-PBE) data for a relaxed structure of TbErNiAu, as listed in Alexandria via LeMat-Bulk.

Cell lengths 4.945, 4.945, 4.945 Å; angles 60.00, 60.00, 60.00 degrees
Fractional coordinates of all 4 atoms:
Tb 0.000 0.000 0.000
Au 0.750 0.750 0.750
Er 0.500 0.500 0.500
Ni 0.250 0.250 0.250

Values from the calculation:
space group: F-43m, No. 216
E_form: -596 meV/atom
total DFT energy (no corrections): -5.159 eV/atom
E above lowest polymorph: 0.051 eV/atom